Record 1
Compound: Tb2NdSm2Ho2
Source: Alexandria
Functional: PBE-GGA
Structure: optimized geometry

Values from the calculation:
The value obtained for the total energy is -4.64 eV per atom. For the formation enthalpy at 0 K, the calculation gives 0.016 eV per atom. Its space group is No. 12.

POSCAR file:
```
Tb2NdSm2Ho2
1.0
5.6595 -2.5358 0.0000
5.6595 2.5358 0.0000
-1.1239 0.0000 7.9484
Tb Nd Sm Ho
2 1 2 2
Direct
0.1430 0.1430 0.4301 Tb
0.8570 0.8570 0.5699 Tb
0.0000 0.0000 0.0000 Nd
0.4281 0.4281 0.2854 Sm
0.5719 0.5719 0.7146 Sm
0.2857 0.2857 0.8560 Ho
0.7143 0.7143 0.1440 Ho
```

=====

Record 2
Compound: Tb6NdSmHo2
Source: Alexandria
Functional: PBE-GGA
Structure: optimized geometry

Values from the calculation:
The value obtained for the total energy is -4.52 eV per atom. For the formation enthalpy at 0 K, the calculation gives 0.122 eV per atom. Its space group is No. 15.

POSCAR file:
```
Tb6NdSmHo2
1.0
4.5666 -7.5274 0.0000
4.5666 7.5274 0.0000
-1.2645 0.0000 9.5297
Tb Nd Sm Ho
12 2 2 4
Direct
0.0225 0.5687 0.1815 Tb
0.1178 0.7519 0.5564 Tb
0.2481 0.8822 0.9436 Tb
0.2934 0.5088 0.3801 Tb
0.4313 0.9775 0.3185 Tb
0.4912 0.7066 0.1199 Tb
0.5088 0.2934 0.8801 Tb
0.5687 0.0225 0.6815 Tb
0.7066 0.4912 0.6199 Tb
0.7519 0.1178 0.0564 Tb
0.8822 0.2481 0.4436 Tb
0.9775 0.4313 0.8185 Tb
0.4069 0.5931 0.7500 Nd
0.5931 0.4069 0.2500 Nd
0.0268 0.9732 0.2500 Sm
0.9732 0.0268 0.7500 Sm
0.1954 0.2976 0.0457 Ho
0.2976 0.1954 0.5457 Ho
0.7024 0.8046 0.4543 Ho
0.8046 0.7024 0.9543 Ho
```

=====

Record 3
Compound: TbNdSmHo
Source: Alexandria
Functional: PBE-GGA
Structure: optimized geometry

Values from the calculation:
The value obtained for the total energy is -4.66 eV per atom. For the formation enthalpy at 0 K, the calculation gives 0.017 eV per atom. Its space group is No. 119.

POSCAR file:
```
TbNdSmHo
1.0
-2.5469 2.5469 5.0803
2.5469 -2.5469 5.0803
2.5469 2.5469 -5.0803
Tb Nd Sm Ho
1 1 1 1
Direct
0.0000 0.0000 0.0000 Tb
0.2500 0.7500 0.5000 Nd
0.5000 0.5000 0.0000 Sm
0.7500 0.2500 0.5000 Ho
```

=====

Quick rundown of total moment, same order as above: 0.000, 0.000, 0.000 μB/cell